1.
Compound: Cr2AuSe
Source: the Alexandria database
Functional: PBEsol
Structure: relaxed

a b c (Å): 6.363 6.363 6.363
angles (deg): 90.00 90.00 90.00
Element x y z (fractional)
Cr1 0.000 0.000 0.000
Cr2 0.000 0.500 0.500
Cr3 0.250 0.250 0.250
Cr4 0.250 0.750 0.750
Cr5 0.500 0.000 0.500
Cr6 0.500 0.500 0.000
Cr7 0.750 0.250 0.750
Cr8 0.750 0.750 0.250
Au1 0.000 0.000 0.500
Au2 0.000 0.500 0.000
Au3 0.500 0.000 0.000
Au4 0.500 0.500 0.500
Se1 0.250 0.250 0.750
Se2 0.250 0.750 0.250
Se3 0.750 0.250 0.250
Se4 0.750 0.750 0.750

Summary:
Formation energy from raw total energies, eV/atom: 0.514
Crystal system: cubic
Calculated volume, Å³/atom: 16.1
Size of the total moment, μB/atom: 0.05

***

2.
Compound: CrSi2Au
Source: the Alexandria database
Functional: PBEsol
Structure: relaxed

a b c (Å): 6.018 6.018 6.018
angles (deg): 90.00 90.00 90.00
Element x y z (fractional)
Cr1 0.000 0.000 0.000
Cr2 0.000 0.500 0.500
Cr3 0.500 0.000 0.500
Cr4 0.500 0.500 0.000
Si1 0.250 0.250 0.250
Si2 0.250 0.250 0.750
Si3 0.250 0.750 0.250
Si4 0.250 0.750 0.750
Si5 0.750 0.250 0.250
Si6 0.750 0.250 0.750
Si7 0.750 0.750 0.250
Si8 0.750 0.750 0.750
Au1 0.000 0.000 0.500
Au2 0.000 0.500 0.000
Au3 0.500 0.000 0.000
Au4 0.500 0.500 0.500

Summary:
Formation energy from raw total energies, eV/atom: 0.309
Offset from the most stable computed form, meV/atom: 246.5
Crystal system: cubic
Calculated volume, Å³/atom: 13.6
Size of the total moment, μB/atom: 0.24

***

3.
Compound: CrSi2Au
Source: the Alexandria database
Functional: PBEsol
Structure: relaxed

a b c (Å): 3.607 3.607 8.422
angles (deg): 90.00 90.00 90.00
Element x y z (fractional)
Cr1 0.000 0.000 0.000
Cr2 0.500 0.500 0.500
Si1 0.000 0.000 0.500
Si2 0.000 0.500 0.250
Si3 0.500 0.000 0.750
Si4 0.500 0.500 0.000
Au1 0.000 0.500 0.750
Au2 0.500 0.000 0.250

Summary:
Formation energy from raw total energies, eV/atom: 0.063
Offset from the most stable computed form, meV/atom: 0.0
Crystal system: tetragonal
Calculated volume, Å³/atom: 13.7
Size of the total moment, μB/atom: 0.41

***

4.
Compound: CrSi2Au
Source: the Alexandria database
Functional: PBEsol
Structure: relaxed

a b c (Å): 3.808 3.808 7.491
angles (deg): 90.00 90.00 90.00
Element x y z (fractional)
Cr1 0.000 0.000 0.000
Cr2 0.500 0.500 0.500
Si1 0.000 0.500 0.250
Si2 0.000 0.500 0.750
Si3 0.500 0.000 0.250
Si4 0.500 0.000 0.750
Au1 0.000 0.000 0.500
Au2 0.500 0.500 0.000

Summary:
Formation energy from raw total energies, eV/atom: 0.138
Offset from the most stable computed form, meV/atom: 75.3
Crystal system: tetragonal
Calculated volume, Å³/atom: 13.6
Size of the total moment, μB/atom: 0.24

***

5.
Compound: SrCr3Au
Source: the Alexandria database
Functional: PBEsol
Structure: relaxed

a b c (Å): 5.054 5.054 5.054
angles (deg): 90.00 90.00 90.00
Element x y z (fractional)
Sr1 0.000 0.000 0.000
Cr1 0.000 0.500 0.500
Cr2 0.500 0.000 0.500
Cr3 0.500 0.500 0.000
Au1 0.500 0.500 0.500

Summary:
DFT formation energy, meV/atom: 1123
Crystal system: cubic
Calculated volume, Å³/atom: 25.8
Size of the total moment, μB/atom: 2.66

***

6.
Compound: SrCrAu2
Source: the Alexandria database
Functional: PBEsol
Structure: relaxed

a b c (Å): 4.242 4.242 9.115
angles (deg): 90.00 90.00 90.00
Element x y z (fractional)
Sr1 0.000 0.000 0.000
Sr2 0.500 0.500 0.500
Cr1 0.000 0.500 0.750
Cr2 0.500 0.000 0.250
Au1 0.000 0.000 0.500
Au2 0.000 0.500 0.250
Au3 0.500 0.000 0.750
Au4 0.500 0.500 0.000

Summary:
DFT formation energy, meV/atom: 40
Crystal system: tetragonal
Calculated volume, Å³/atom: 20.5
Size of the total moment, μB/atom: 1.13

***

7.
Compound: Ta2CrAu
Source: the Alexandria database
Functional: PBEsol
Structure: relaxed

a b c (Å): 2.792 4.032 5.707
angles (deg): 90.00 99.09 90.00
Element x y z (fractional)
Ta1 0.088 0.000 0.270
Ta2 0.912 0.000 0.730
Cr1 0.500 0.500 0.500
Au1 0.500 0.500 0.000

Summary:
DFT formation energy, meV/atom: 94
Offset from the most stable computed form, meV/atom: 0.0
Crystal system: monoclinic
Calculated volume, Å³/atom: 15.9
Size of the total moment, μB/atom: 0.00

***

8.
Compound: Ta2CrAu
Source: the Alexandria database
Functional: PBEsol
Structure: relaxed

a b c (Å): 2.840 4.502 5.047
angles (deg): 90.00 97.31 90.00
Element x y z (fractional)
Ta1 0.000 0.000 0.000
Ta2 0.233 0.500 0.678
Cr1 0.600 0.000 0.533
Au1 0.600 0.500 0.203

Summary:
DFT formation energy, meV/atom: 133
Offset from the most stable computed form, meV/atom: 39.2
Crystal system: monoclinic
Calculated volume, Å³/atom: 16.0
Size of the total moment, μB/atom: 0.12

***

9.
Compound: Ta2CrAu
Source: the Alexandria database
Functional: PBEsol
Structure: relaxed

a b c (Å): 3.936 3.936 8.258
angles (deg): 90.00 90.00 90.00
Element x y z (fractional)
Ta1 0.000 0.000 0.000
Ta2 0.000 0.500 0.250
Ta3 0.500 0.000 0.750
Ta4 0.500 0.500 0.500
Cr1 0.000 0.500 0.750
Cr2 0.500 0.000 0.250
Au1 0.000 0.000 0.500
Au2 0.500 0.500 0.000

Summary:
DFT formation energy, meV/atom: 156
Offset from the most stable computed form, meV/atom: 61.3
Crystal system: tetragonal
Calculated volume, Å³/atom: 16.0
Size of the total moment, μB/atom: 0.28

***

10.
Compound: Ta2CrTeAu
Source: the Alexandria database
Functional: PBEsol
Structure: relaxed

a b c (Å): 4.917 4.917 5.356
angles (deg): 90.00 90.00 90.00
Element x y z (fractional)
Ta1 0.000 0.500 0.000
Ta2 0.500 0.000 0.000
Cr1 0.000 0.000 0.500
Te1 0.500 0.500 0.500
Au1 0.500 0.500 0.000

Summary:
Formation energy from raw total energies, eV/atom: 1.947
Crystal system: tetragonal
Calculated volume, Å³/atom: 25.9
Size of the total moment, μB/atom: 0.58

***

11.
Compound: CrTcAu2
Source: the Alexandria database
Functional: PBEsol
Structure: relaxed

a b c (Å): 2.669 2.669 8.256
angles (deg): 90.00 90.00 90.00
Element x y z (fractional)
Cr1 0.000 0.000 0.000
Tc1 0.000 0.000 0.500
Au1 0.500 0.500 0.240
Au2 0.500 0.500 0.760

Summary:
DFT formation energy, meV/atom: 422
Offset from the most stable computed form, meV/atom: 20.2
Crystal system: tetragonal
Calculated volume, Å³/atom: 14.7
Size of the total moment, μB/atom: 0.00

***

12.
Compound: Cr2TcAu
Source: the Alexandria database
Functional: PBEsol
Structure: relaxed

a b c (Å): 9.200 2.813 4.431
angles (deg): 90.00 111.29 90.00
Element x y z (fractional)
Cr1 0.000 0.000 0.000
Cr2 0.194 0.500 0.274
Cr3 0.500 0.500 0.000
Cr4 0.694 0.000 0.274
Tc1 0.240 0.000 0.814
Tc2 0.740 0.500 0.814
Au1 0.458 0.000 0.469
Au2 0.958 0.500 0.469

Summary:
DFT formation energy, meV/atom: 292
Crystal system: monoclinic
Calculated volume, Å³/atom: 13.4
Size of the total moment, μB/atom: 0.00

***

13.
Compound: CrTc3Au
Source: the Alexandria database
Functional: PBEsol
Structure: relaxed

a b c (Å): 4.334 4.334 4.334
angles (deg): 90.00 90.00 90.00
Element x y z (fractional)
Cr1 0.000 0.000 0.000
Tc1 0.000 0.000 0.500
Tc2 0.000 0.500 0.000
Tc3 0.500 0.000 0.000
Au1 0.500 0.500 0.500

Summary:
DFT formation energy, meV/atom: 1273
Crystal system: cubic
Calculated volume, Å³/atom: 16.3
Size of the total moment, μB/atom: 0.00

***

14.
Compound: CrTc2Au
Source: the Alexandria database
Functional: PBEsol
Structure: relaxed

a b c (Å): 2.690 2.690 7.779
angles (deg): 90.00 90.00 90.00
Element x y z (fractional)
Cr1 0.000 0.000 0.000
Tc1 0.000 0.000 0.464
Tc2 0.500 0.500 0.227
Au1 0.500 0.500 0.743

Summary:
DFT formation energy, meV/atom: 244
Offset from the most stable computed form, meV/atom: 29.6
Crystal system: tetragonal
Calculated volume, Å³/atom: 14.1
Size of the total moment, μB/atom: 0.00

***

15.
Compound: CrTc2Au
Source: the Alexandria database
Functional: PBEsol
Structure: relaxed

a b c (Å): 2.682 2.682 7.765
angles (deg): 90.00 90.00 90.00
Element x y z (fractional)
Cr1 0.000 0.000 0.000
Tc1 0.500 0.500 0.218
Tc2 0.500 0.500 0.782
Au1 0.000 0.000 0.500

Summary:
DFT formation energy, meV/atom: 214
Offset from the most stable computed form, meV/atom: 0.0
Crystal system: tetragonal
Calculated volume, Å³/atom: 14.0
Size of the total moment, μB/atom: 0.00

***

16.
Compound: CrTcAu2
Source: the Alexandria database
Functional: PBEsol
Structure: relaxed

a b c (Å): 9.349 2.853 4.646
angles (deg): 90.00 100.83 90.00
Element x y z (fractional)
Cr1 0.000 0.000 0.000
Cr2 0.500 0.500 0.000
Tc1 0.000 0.500 0.500
Tc2 0.500 0.000 0.500
Au1 0.249 0.000 0.749
Au2 0.251 0.500 0.251
Au3 0.749 0.500 0.749
Au4 0.751 0.000 0.251

Summary:
DFT formation energy, meV/atom: 402
Offset from the most stable computed form, meV/atom: 0.0
Crystal system: monoclinic
Calculated volume, Å³/atom: 15.2
Size of the total moment, μB/atom: 0.48

***

17.
Compound: CrTc2Au
Source: the Alexandria database
Functional: PBEsol
Structure: relaxed

a b c (Å): 2.930 4.360 8.890
angles (deg): 90.00 90.00 90.00
Element x y z (fractional)
Cr1 0.000 0.000 0.000
Cr2 0.500 0.500 0.500
Tc1 0.000 0.500 0.284
Tc2 0.000 0.500 0.716
Tc3 0.500 0.000 0.216
Tc4 0.500 0.000 0.784
Au1 0.000 0.000 0.500
Au2 0.500 0.500 0.000

Summary:
DFT formation energy, meV/atom: 337
Offset from the most stable computed form, meV/atom: 122.6
Crystal system: orthorhombic
Calculated volume, Å³/atom: 14.2
Size of the total moment, μB/atom: 0.00

***

18.
Compound: CrTe2Au
Source: the Alexandria database
Functional: PBEsol
Structure: relaxed

a b c (Å): 3.938 3.938 23.888
angles (deg): 90.00 90.00 120.00
Element x y z (fractional)
Cr1 0.000 0.000 0.000
Cr2 0.333 0.667 0.667
Cr3 0.667 0.333 0.333
Te1 0.000 0.000 0.393
Te2 0.000 0.000 0.607
Te3 0.333 0.667 0.059
Te4 0.333 0.667 0.274
Te5 0.667 0.333 0.726
Te6 0.667 0.333 0.941
Au1 0.000 0.000 0.500
Au2 0.333 0.667 0.167
Au3 0.667 0.333 0.833

Summary:
Formation energy from raw total energies, eV/atom: 0.006
Offset from the most stable computed form, meV/atom: 0.0
Crystal system: trigonal
Calculated volume, Å³/atom: 26.7
Size of the total moment, μB/atom: 0.75

***

19.
Compound: CrTe2Au
Source: the Alexandria database
Functional: PBEsol
Structure: relaxed

a b c (Å): 3.966 3.966 19.854
angles (deg): 90.00 90.00 120.00
Element x y z (fractional)
Cr1 0.000 0.000 0.000
Cr2 0.333 0.667 0.667
Cr3 0.667 0.333 0.333
Te1 0.000 0.000 0.257
Te2 0.000 0.000 0.743
Te3 0.333 0.667 0.410
Te4 0.333 0.667 0.923
Te5 0.667 0.333 0.077
Te6 0.667 0.333 0.590
Au1 0.000 0.000 0.500
Au2 0.333 0.667 0.167
Au3 0.667 0.333 0.833

Summary:
Formation energy from raw total energies, eV/atom: 0.080
Offset from the most stable computed form, meV/atom: 74.2
Crystal system: trigonal
Calculated volume, Å³/atom: 22.5
Size of the total moment, μB/atom: 0.80

***

20.
Compound: CrTeAu
Source: the Alexandria database
Functional: PBEsol
Structure: relaxed

a b c (Å): 6.474 6.474 6.474
angles (deg): 90.00 90.00 90.00
Element x y z (fractional)
Cr1 0.000 0.000 0.000
Cr2 0.000 0.500 0.500
Cr3 0.500 0.000 0.500
Cr4 0.500 0.500 0.000
Te1 0.000 0.000 0.500
Te2 0.000 0.500 0.000
Te3 0.500 0.000 0.000
Te4 0.500 0.500 0.500
Au1 0.250 0.250 0.250
Au2 0.250 0.750 0.750
Au3 0.750 0.250 0.750
Au4 0.750 0.750 0.250

Summary:
Formation energy from raw total energies, eV/atom: 0.396
Crystal system: cubic
Calculated volume, Å³/atom: 22.6
Size of the total moment, μB/atom: 1.58